The following is a DFT calculation (meta-GGA SCAN) of a PBEsol-optimized structure of Tl2HgAu.

POSCAR file:
```
Tl2HgAu
1.0
3.7756 0.0000 0.0191
0.0000 4.6048 0.0000
-1.8598 0.0000 5.5588
Tl Au Hg
2 1 1
direct
0.0283 0.0000 0.9348 Tl
0.7267 0.5000 0.3245 Tl
0.2951 0.0000 0.4614 Au
0.4500 0.5000 0.7794 Hg
```

Values from the calculation:
Calculated volume (Å³/atom): 24.20
Formation enthalpy at 0 K (eV per atom): 0.00
D(E_F) (states/eV/f.u.): 1.373
Energy above the most stable polymorph in this dataset (eV per formula unit): 0.12
Space group: Pm